Entry 1:
{"formula": "Er4CdIn2", "functional": "PBE", "state": "relaxed", "de_polymorph_ev_per_atom": 0.085, "space_group": "P2_1/m", "total_energy_ev_per_atom": -3.704, "formation_energy_mev_per_atom": -183, "vol_a3_per_cell": 396.0, "cell": [[-5.9141, 0.8824, -4.2428], [-3.6145, -3.3267, 4.3465], [1.1848, 6.5872, 6.0269]], "species": ["Er", "Er", "Er", "Er", "Er", "Er", "Er", "Er", "Cd", "Cd", "In", "In", "In", "In"], "frac_coords": [[0.5935, 0.4920, 0.2261], [0.9703, 0.7500, 0.7772], [0.0297, 0.2500, 0.2228], [0.5935, 0.0080, 0.2261], [0.9476, 0.2500, 0.5729], [0.4065, 0.9920, 0.7739], [0.4065, 0.5080, 0.7739], [0.0524, 0.7500, 0.4271], [0.2181, 0.7500, 0.1426], [0.7819, 0.2500, 0.8574], [0.7914, 0.7500, 0.0414], [0.2086, 0.2500, 0.9586], [0.4677, 0.2500, 0.4952], [0.5323, 0.7500, 0.5048]]}



Entry 2:
{"formula": "KNa2Eu", "functional": "PBE", "state": "relaxed", "de_polymorph_ev_per_atom": 0.056, "space_group": "Fm-3m", "total_energy_ev_per_atom": -3.369, "formation_energy_mev_per_atom": 133, "vol_a3_per_cell": 191.3, "cell": [[-3.2937, 4.6546, -3.0515], [-6.2932, 0.8446, 1.2277], [-1.9869, 5.2221, 3.2569]], "species": ["Eu", "Na", "Na", "K"], "frac_coords": [[0.0000, 0.0000, 0.0000], [0.2500, 0.2500, 0.2500], [0.7500, 0.7500, 0.7500], [0.5000, 0.5000, 0.5000]]}



Entry 3:
{"formula": "KInMo6Se6", "functional": "PBE", "state": "relaxed", "raw_formation_energy_ev_per_atom": -0.58, "space_group": "P-6", "total_energy_ev_per_atom": -6.988, "vol_a3_per_cell": 329.5, "cell": [[9.1710, 0.0000, 0.0000], [-4.5855, 7.9423, 0.0000], [0.0000, 0.0000, 4.5238]], "species": ["K", "In", "Mo", "Mo", "Mo", "Mo", "Mo", "Mo", "Se", "Se", "Se", "Se", "Se", "Se"], "frac_coords": [[0.0000, 0.0000, 0.5000], [0.6667, 0.3333, 0.0000], [0.5146, 0.8169, 0.5000], [0.1831, 0.6977, 0.5000], [0.3023, 0.4854, 0.5000], [0.1519, 0.5164, 0.0000], [0.4836, 0.6355, 0.0000], [0.3645, 0.8481, 0.0000], [0.6282, 0.6012, 0.5000], [0.3988, 0.0270, 0.5000], [0.9730, 0.3718, 0.5000], [0.0357, 0.7275, 0.0000], [0.2725, 0.3082, 0.0000], [0.6918, 0.9643, 0.0000]]}



Entry 4:
{"formula": "Ba2TlNiSn", "functional": "PBE", "state": "relaxed", "space_group": "P4/mmm", "total_energy_ev_per_atom": -3.502, "formation_energy_mev_per_atom": -303, "vol_a3_per_cell": 179.3, "cell": [[6.0664, 0.0000, 0.0000], [0.0000, 6.0664, 0.0000], [0.0000, 0.0000, 4.8709]], "species": ["Ni", "Tl", "Ba", "Ba", "Sn"], "frac_coords": [[0.0000, 0.0000, 0.0000], [0.5000, 0.5000, 0.5000], [0.0000, 0.5000, 0.0000], [0.5000, 0.0000, 0.0000], [0.0000, 0.0000, 0.5000]]}



Entry 5:
{"formula": "MgSc2Br", "functional": "PBE", "state": "relaxed", "de_polymorph_ev_per_atom": 0.389, "raw_formation_energy_ev_per_atom": -0.02, "space_group": "Fm-3m", "total_energy_ev_per_atom": -4.000, "vol_a3_per_cell": 93.1, "cell": [[0.0000, 3.5970, 3.5970], [3.5970, 0.0000, 3.5970], [3.5970, 3.5970, 0.0000]], "species": ["Sc", "Sc", "Mg", "Br"], "frac_coords": [[0.2500, 0.2500, 0.2500], [0.7500, 0.7500, 0.7500], [0.0000, 0.0000, 0.0000], [0.5000, 0.5000, 0.5000]]}



Entry 6:
{"formula": "ScZn", "functional": "PBE", "state": "relaxed", "space_group": "P4_2/mnm", "total_energy_ev_per_atom": -3.853, "formation_energy_mev_per_atom": -50, "vol_a3_per_cell": 165.6, "cell": [[5.4404, 0.0000, 0.0000], [0.0000, 5.4404, 0.0000], [0.0000, 0.0000, 5.5940]], "species": ["Sc", "Sc", "Sc", "Sc", "Zn", "Zn", "Zn", "Zn"], "frac_coords": [[0.2986, 0.7014, 0.0000], [0.7986, 0.7986, 0.5000], [0.2014, 0.2014, 0.5000], [0.7014, 0.2986, 0.0000], [0.1879, 0.1879, 0.0000], [0.6879, 0.3121, 0.5000], [0.3121, 0.6879, 0.5000], [0.8121, 0.8121, 0.0000]]}



Please write out number 2 again, unchanged.
{"formula": "KNa2Eu", "functional": "PBE", "state": "relaxed", "de_polymorph_ev_per_atom": 0.056, "space_group": "Fm-3m", "total_energy_ev_per_atom": -3.369, "formation_energy_mev_per_atom": 133, "vol_a3_per_cell": 191.3, "cell": [[-3.2937, 4.6546, -3.0515], [-6.2932, 0.8446, 1.2277], [-1.9869, 5.2221, 3.2569]], "species": ["Eu", "Na", "Na", "K"], "frac_coords": [[0.0000, 0.0000, 0.0000], [0.2500, 0.2500, 0.2500], [0.7500, 0.7500, 0.7500], [0.5000, 0.5000, 0.5000]]}